Entry 1:
Compound: LiTbNi2
Source: Alexandria
Functional: PBE-GGA
Structure: relaxed

## Properties
DFT formation energy = -64.4 kJ/mol of formula units
spin magnetization = 0.000 μB per atom
SG = R-3m

Cell and atoms, written as POSCAR:
```
LiTbNi2
1.0
4.091 0.000 0.000
2.046 3.543 0.000
2.046 1.181 4.547
Ni Tb Li
2 1 1
direct
0.797 0.797 0.609
0.203 0.203 0.391
0.000 0.000 0.000
0.500 0.500 0.500
```


Entry 2:
Compound: Li2TbNi9
Source: Alexandria
Functional: PBE-GGA
Structure: relaxed

## Properties
DFT formation energy = -183.0 kJ/mol of formula units
spin magnetization = 0.307 μB per atom
SG = P4/mbm

Cell and atoms, written as POSCAR:
```
Li2TbNi9
1.0
-2.473 3.290 2.309
-6.569 -4.673 -0.376
2.025 -3.411 7.028
Li Tb Ni
4 2 18
direct
0.000 0.614 0.114
0.000 0.386 0.886
0.000 0.114 0.386
0.000 0.886 0.614
0.000 0.500 0.500
0.000 0.000 0.000
0.500 0.500 0.000
0.500 0.000 0.500
0.500 0.710 0.562
0.500 0.290 0.438
0.500 0.210 0.938
0.500 0.790 0.062
0.500 0.438 0.710
0.500 0.562 0.290
0.500 0.062 0.210
0.500 0.938 0.790
0.757 0.820 0.320
0.757 0.180 0.680
0.757 0.320 0.180
0.757 0.680 0.820
0.243 0.180 0.680
0.243 0.820 0.320
0.243 0.680 0.820
0.243 0.320 0.180
```


Entry 3:
Compound: LiTbNi2
Source: Alexandria
Functional: PBE-GGA
Structure: relaxed

## Properties
DFT formation energy = -45.1 kJ/mol of formula units
spin magnetization = 0.000 μB per atom
SG = Fm-3m

Cell and atoms, written as POSCAR:
```
LiTbNi2
1.0
-1.253 -3.863 -1.947
2.019 -1.373 -3.784
2.756 -3.561 0.083
Ni Tb Li
2 1 1
direct
0.250 0.250 0.250
0.750 0.750 0.750
0.000 0.000 0.000
0.500 0.500 0.500
```


Entry 4:
Compound: LiTbNi
Source: Alexandria
Functional: PBE-GGA
Structure: relaxed

## Properties
DFT formation energy = -24.3 kJ/mol of formula units
spin magnetization = 0.000 μB per atom
SG = I4mm

Cell and atoms, written as POSCAR:
```
LiTbNi
1.0
3.438 0.000 0.000
0.000 3.438 0.000
-1.719 -1.719 4.701
Ni Tb Li
1 1 1
direct
0.278 0.278 0.556
0.932 0.932 0.864
0.640 0.640 0.280
```


Entry 5:
Compound: Li2TbNi9
Source: Alexandria
Functional: PBE-GGA
Structure: relaxed

## Properties
DFT formation energy = -181.8 kJ/mol of formula units
spin magnetization = 0.193 μB per atom
SG = R-3m

Cell and atoms, written as POSCAR:
```
Li2TbNi9
1.0
-2.757 3.326 2.146
-4.382 -1.187 1.631
0.705 -1.184 8.164
Li Tb Ni
2 1 9
direct
0.855 0.855 0.436
0.145 0.145 0.564
0.000 0.000 0.000
0.667 0.667 0.000
0.333 0.333 0.000
0.500 0.500 0.500
0.414 0.414 0.255
0.917 0.414 0.255
0.414 0.917 0.255
0.586 0.586 0.745
0.586 0.083 0.745
0.083 0.586 0.745
```


Entry 6:
Compound: LiTb3Ni8
Source: Alexandria
Functional: PBE-GGA
Structure: relaxed

## Properties
DFT formation energy = -447.6 kJ/mol of formula units
spin magnetization = 0.000 μB per atom
SG = R3m

Cell and atoms, written as POSCAR:
```
LiTb3Ni8
1.0
4.996 0.000 0.000
2.498 4.327 0.000
2.498 1.442 8.174
Li Tb Ni
1 3 8
direct
0.870 0.870 0.389
0.378 0.378 0.867
0.991 0.991 0.026
0.507 0.507 0.479
0.941 0.436 0.188
0.438 0.939 0.685
0.436 0.436 0.188
0.939 0.939 0.685
0.188 0.188 0.435
0.688 0.688 0.937
0.436 0.941 0.188
0.939 0.438 0.685
```


Entry 7:
Compound: LiTb12Ni6
Source: Alexandria
Functional: PBE-GGA
Structure: relaxed

## Properties
DFT formation energy = -481.9 kJ/mol of formula units
spin magnetization = 0.000 μB per atom
SG = Im-3

Cell and atoms, written as POSCAR:
```
LiTb12Ni6
1.0
7.991 0.000 -2.825
-3.995 6.920 -2.825
0.000 0.000 8.476
Li Tb Ni
1 12 6
direct
0.000 0.000 0.000
0.307 0.120 0.813
0.307 0.495 0.187
0.693 0.505 0.813
0.693 0.880 0.187
0.120 0.813 0.307
0.495 0.187 0.307
0.505 0.813 0.693
0.880 0.187 0.693
0.813 0.307 0.120
0.187 0.307 0.495
0.813 0.693 0.505
0.187 0.693 0.880
0.377 0.500 0.877
0.623 0.500 0.123
0.500 0.877 0.377
0.500 0.123 0.623
0.877 0.377 0.500
0.123 0.623 0.500
```


Entry 8:
Compound: LiTb2Ni2
Source: Alexandria
Functional: PBE-GGA
Structure: relaxed

## Properties
DFT formation energy = -138.9 kJ/mol of formula units
spin magnetization = 0.000 μB per atom
SG = Cmmm

Cell and atoms, written as POSCAR:
```
LiTb2Ni2
1.0
3.666 0.000 0.000
0.000 3.843 -1.093
0.000 0.023 7.384
Li Tb Ni
1 2 2
direct
0.000 0.000 0.000
0.500 0.642 0.284
0.500 0.358 0.716
0.000 0.199 0.398
0.000 0.801 0.602
```


DFT total energy (computed, eV/atom): -4.694 -5.199 -4.644 -4.192 -5.198 -5.558 -5.114 -4.835